No. 1
Material: CaB2H10O
Method: DFT, PBEsol
State: optimized geometry

DFT total energy   -244.40 eV per cell

abc: 7.876 5.610 11.400
angles: 90.00 90.00 90.00
Space group Pnma (No. 62)
Asymmetric unit:
Ca: 0.180 0.250 0.084 [4 per cell]
B: 0.013 0.750 0.709 [4 per cell]
B: 0.139 0.750 0.050 [4 per cell]
H: 0.007 0.250 0.912 [4 per cell]
H: 0.067 0.750 0.810 [4 per cell]
H: 0.070 0.570 0.661 [8 per cell]
H: 0.091 0.609 0.384 [8 per cell]
H: 0.143 0.250 0.298 [4 per cell]
H: 0.164 0.584 0.983 [8 per cell]
H: 0.237 0.750 0.133 [4 per cell]
O: 0.144 0.750 0.420 [4 per cell]

No. 2
Material: Mg2FeAg
Method: DFT, PBEsol
State: optimized geometry

ΔE_f   0.21 eV per atom

abc: 3.953 3.953 8.400
angles: 90.00 90.00 90.00
Space group I-4m2 (No. 119)
Asymmetric unit:
Mg: 0.000 0.000 0.000 [2 per cell]
Mg: 0.000 0.500 0.250 [2 per cell]
Fe: 0.000 0.500 0.750 [2 per cell]
Ag: 0.000 0.000 0.500 [2 per cell]

No. 3
Material: Zn2CdTe
Method: DFT, PBEsol
State: optimized geometry

Excess energy over the best structure of this formula in the dataset   0.000 eV per atom
ΔE_f (raw)   0.07 eV per atom

abc: 3.911 3.889 5.598
angles: 90.00 106.26 90.00
Space group Pm (No. 6)
Asymmetric unit:
Zn: 0.000 0.000 0.000 [1 per cell]
Zn: 0.233 0.500 0.330 [1 per cell]
Cd: 0.777 0.000 0.445 [1 per cell]
Te: 0.435 0.500 0.848 [1 per cell]

No. 4
Material: Li3IF
Method: DFT, PBEsol
State: optimized geometry

ΔE_f (raw)   -1.33 eV per atom

abc: 4.410 4.410 4.410
angles: 90.00 90.00 90.00
Space group Pm-3m (No. 221)
Asymmetric unit:
Li: 0.000 0.000 0.500 [3 per cell]
I: 0.500 0.500 0.500 [1 per cell]
F: 0.000 0.000 0.000 [1 per cell]